Entry 1:
Ba4Bi5Pd2 (PBE, relaxed); symmetry = P2/m; formation energy from the elements = -0.7021 eV/atom; size of the total moment = 0.000 μB/f.u.; DOS(E_F) = 0.453 states/eV per atom; total DFT energy (no corrections) = -4.110 eV/atom
1.0
5.0827 0.0000 0.0000
0.0000 8.1209 0.3074
0.0000 -0.4206 9.5679
Ba Bi Pd
4 5 2
direct
0.5000 0.7543 0.6053
0.5000 0.2219 0.8674
0.5000 0.2457 0.3947
0.5000 0.7781 0.1326
0.0000 0.5853 0.3481
0.0000 0.1173 0.1341
0.0000 0.5000 0.0000
0.0000 0.8827 0.8659
0.0000 0.4147 0.6519
0.0000 0.0775 0.6280
0.0000 0.9225 0.3720

***

Entry 2:
Nd3DyCo (PBE, relaxed); symmetry = C2/m; formation energy from the elements = 0.0531 eV/atom; energy above the most stable polymorph in this dataset = 0 meV per atom; size of the total moment = 0.000 μB/f.u.; DOS(E_F) = 1.207 states/eV per atom; total DFT energy (no corrections) = -5.149 eV/atom
1.0
6.4845 -0.2125 1.7201
2.0458 6.7785 -0.5883
-0.2252 -1.3877 6.9644
Nd Dy Co
6 2 2
direct
0.2389 0.0708 0.5188
0.2389 0.5188 0.0708
0.7611 0.4812 0.9292
0.2066 0.6042 0.6042
0.7611 0.9292 0.4812
0.7934 0.3958 0.3958
0.7460 0.9943 0.9943
0.2540 0.0057 0.0057
0.3938 0.2706 0.2706
0.6062 0.7294 0.7294

***

Entry 3:
Ac3YIr8 (PBE, relaxed); symmetry = R3m; formation energy from the elements = -0.5973 eV/atom; size of the total moment = 0.000 μB/f.u.; DOS(E_F) = 0.762 states/eV per atom; total DFT energy (no corrections) = -8.070 eV/atom
1.0
-2.6518 1.7505 -4.5179
0.0921 -3.0423 -4.6091
-8.2976 -4.7438 -0.3440
Ac Y Ir
3 1 8
direct
0.3753 0.3753 0.8742
0.9989 0.9989 0.0033
0.5008 0.5008 0.4976
0.8743 0.8743 0.3770
0.9349 0.4361 0.1930
0.4413 0.9384 0.6818
0.4361 0.4361 0.1930
0.9384 0.9384 0.6818
0.1879 0.1879 0.4363
0.6876 0.6876 0.9372
0.4361 0.9349 0.1930
0.9384 0.4413 0.6818

***

Entry 4:
CeThAu (PBE, relaxed); symmetry = I4mm; formation energy from the elements = -0.3173 eV/atom; energy above the most stable polymorph in this dataset = 58 meV per atom; size of the total moment = 0.735 μB/f.u.; DOS(E_F) = 2.578 states/eV per atom; total DFT energy (no corrections) = -5.861 eV/atom
1.0
3.7236 0.0000 0.0000
0.0000 3.7236 0.0000
-1.8618 -1.8618 6.0544
Au Ce Th
1 1 1
direct
0.6692 0.6692 0.3384
0.0159 0.0159 0.0318
0.3149 0.3149 0.6299

***

Entry 5:
Cr3CuBi (PBE, relaxed); symmetry = Pm-3m; formation energy from the elements = 1.6108 eV/atom; energy above the most stable polymorph in this dataset = 585 meV per atom; size of the total moment = 13.942 μB/f.u.; DOS(E_F) = 0.358 states/eV per atom; total DFT energy (no corrections) = -5.759 eV/atom
1.0
-2.3293 -4.2669 2.1122
4.3095 -2.8892 -1.0841
2.0241 1.2409 4.7389
Cr Bi Cu
3 1 1
direct
0.0000 0.5000 0.0000
0.0000 0.0000 0.5000
0.5000 0.0000 0.0000
0.0000 0.0000 0.0000
0.5000 0.5000 0.5000

***

Entry 6:
PmTl2Bi (PBE, relaxed); symmetry = Fm-3m; formation energy from the elements = -0.1535 eV/atom; energy above the most stable polymorph in this dataset = 225 meV per atom; size of the total moment = 0.000 μB/f.u.; DOS(E_F) = 0.912 states/eV per atom; total DFT energy (no corrections) = -3.495 eV/atom
1.0
-4.8164 -2.5468 1.1065
-2.4744 -3.0859 -3.9067
-0.1639 -5.5329 0.5184
Tl Bi Pm
2 1 1
direct
0.2500 0.2500 0.2500
0.7500 0.7500 0.7500
0.5000 0.5000 0.5000
0.0000 0.0000 0.0000

***

Entry 7:
InO (PBE, relaxed); symmetry = Cmcm; size of the total moment = 0.000 μB/f.u.; DOS(E_F) = 0.208 states/eV per atom; total DFT energy (no corrections) = -4.904 eV/atom
1.0
3.1896 0.0000 0.0000
0.0000 3.3551 0.5024
0.0000 0.8648 5.6608
O In
2 2
direct
0.2500 0.8290 0.8416
0.7500 0.1710 0.1584
0.2500 0.6263 0.2481
0.7500 0.3737 0.7519

***

Entry 8:
RbIN (PBE, relaxed); symmetry = Pnma; energy above the most stable polymorph in this dataset = 1388 meV per atom; size of the total moment = 1.006 μB/f.u.; DOS(E_F) = 0.355 states/eV per atom; total DFT energy (no corrections) = -3.198 eV/atom
1.0
-2.6353 0.9175 5.2385
7.3661 -5.3204 4.6375
4.1276 6.5281 0.9331
Rb I N
4 4 4
direct
0.7500 0.8928 0.6060
0.2500 0.3928 0.8940
0.2500 0.1072 0.3940
0.7500 0.6072 0.1060
0.7500 0.2549 0.6627
0.2500 0.7549 0.8373
0.2500 0.7451 0.3373
0.7500 0.2451 0.1627
0.7500 0.1435 0.4152
0.2500 0.6435 0.0848
0.2500 0.8565 0.5848
0.7500 0.3565 0.9152

***

Entry 9:
Pm2CuSiPt6 (PBE, relaxed); symmetry = R-3m; size of the total moment = 0.000 μB/f.u.; DOS(E_F) = 0.266 states/eV per atom; total DFT energy (no corrections) = -6.333 eV/atom
1.0
-1.2611 3.2584 4.4035
4.2836 -4.8248 4.7973
6.2402 0.4389 5.0508
Pm Cu Si Pt
2 1 1 6
direct
0.7962 0.2040 0.4078
0.2038 0.7960 0.5922
0.5000 0.5000 0.0000
0.0000 0.0000 0.0000
0.2475 0.2675 0.5052
0.7328 0.7527 0.0199
0.2475 0.7528 0.0199
0.7525 0.2472 0.9801
0.2672 0.2473 0.9801
0.7525 0.7325 0.4948

***

Entry 10:
Ce8PuPd2 (PBE, relaxed); symmetry = C2/m; formation energy from the elements = -0.2281 eV/atom; size of the total moment = 3.013 μB/f.u.; DOS(E_F) = 2.707 states/eV per atom; total DFT energy (no corrections) = -6.791 eV/atom
1.0
-0.5680 -6.2477 0.7851
6.7222 -2.5059 -1.5330
3.2900 -1.1912 6.4479
Ce Pu Pd
8 1 2
direct
0.7727 0.9299 0.3258
0.2273 0.6742 0.0701
0.7527 0.8716 0.8716
0.2473 0.1284 0.1284
0.7727 0.3258 0.9299
0.2273 0.0701 0.6742
0.1862 0.5904 0.5904
0.8138 0.4096 0.4096
0.0000 0.0000 0.0000
0.5707 0.6713 0.6713
0.4293 0.3287 0.3287

***

Entry 11:
DyEr5Al3 (PBE, relaxed); symmetry = P6_3/mcm; formation energy from the elements = -0.2759 eV/atom; size of the total moment = 0.001 μB/f.u.; DOS(E_F) = 0.985 states/eV per atom; total DFT energy (no corrections) = -4.570 eV/atom
1.0
-0.9821 -6.4880 0.5718
-0.0349 -0.7855 -8.9730
7.7292 -0.7684 4.5581
Dy Er Al
2 10 6
direct
0.0000 0.0000 0.0000
0.5000 0.0000 0.0000
0.0000 0.6669 0.3337
0.5000 0.3331 0.6663
0.0000 0.3331 0.6663
0.5000 0.6669 0.3337
0.7500 0.6666 0.6667
0.7500 0.9999 0.3333
0.7500 0.3335 0.0000
0.2500 0.3334 0.3333
0.2500 0.0001 0.6667
0.2500 0.6665 0.0000
0.7500 0.3343 0.3344
0.7500 0.9999 0.6656
0.7500 0.6656 0.0000
0.2500 0.6657 0.6656
0.2500 0.0001 0.3344
0.2500 0.3344 0.0000

***

Entry 12:
Ba2MnSi (PBE, relaxed); symmetry = I-42d; size of the total moment = 0.000 μB/f.u.; DOS(E_F) = 1.583 states/eV per atom; total DFT energy (no corrections) = -4.274 eV/atom
1.0
-2.2441 7.8448 8.1344
-11.2231 -0.5755 -2.5412
-6.9943 1.9770 4.3234
Si Mn Ba
2 2 4
direct
0.5000 0.5000 0.0000
0.2500 0.7500 0.5000
0.0000 0.0000 0.0000
0.7500 0.2500 0.5000
0.8283 0.1250 0.2500
0.9217 0.6250 0.2500
0.3750 0.1717 0.7500
0.8750 0.0783 0.7500